Ac2H2F7: relaxed, PBE.

a = 4.636 Å, b = 6.373 Å, c = 6.645 Å
α = 91.52°, β = 109.16°, γ = 106.67°
Space group P-1 (No. 2)
Unique sites:
Ac 0.042 0.267 0.272 [2 per cell]
H 0.482 0.252 0.779 [2 per cell]
F 0.000 0.000 0.000 [1 per cell]
F 0.245 0.135 0.649 [2 per cell]
F 0.287 0.623 0.108 [2 per cell]
F 0.325 0.608 0.575 [2 per cell]

Computed properties:
Energy ... -5.5682 eV/atom
Mass density ... 5.55 g/cm³